Record 1
The following is a PBE calculation of an optimized crystal structure of BaTl2P, from Alexandria.

a b c (Å): 6.676 6.676 6.676
angles (deg): 139.41 139.41 58.75
Fractional positions:
Ba: 0.250 0.750 0.500
P: 0.750 0.250 0.500
Tl: 0.500 0.500 0.000
Tl: 0.000 0.000 0.000

Computed properties:
Formation energy = -0.88 eV per formula unit
E = -3.2365 eV/atom
Space-group type = I4/mmm, No. 139
Energy above the most stable polymorph in this dataset = 0.70 eV/f.u.
D(E_F) = 2.44 states/eV per cell
Magnetic moment = 0.00 μB per cell

Record 2
The following is a PBE calculation of an optimized crystal structure of BaTl2P, from Alexandria.

a b c (Å): 5.552 5.552 5.552
angles (deg): 60.00 60.00 60.00
Fractional positions:
P: 0.000 0.000 0.000
Tl: 0.750 0.750 0.750
Tl: 0.250 0.250 0.250
Ba: 0.500 0.500 0.500

Computed properties:
Formation energy = -0.29 eV per formula unit
E = -3.0889 eV/atom
Space-group type = Fm-3m, No. 225
Energy above the most stable polymorph in this dataset = 1.29 eV/f.u.
D(E_F) = 3.58 states/eV per cell
Magnetic moment = 0.00 μB per cell

Record 3
The following is a PBE calculation of an optimized crystal structure of Ba4TlP, from Alexandria.

a b c (Å): 7.926 9.248 9.248
angles (deg): 110.13 107.68 107.68
Fractional positions:
Ba: 0.710 0.219 0.340
Ba: 0.290 0.781 0.660
Ba: 0.071 0.945 0.273
Ba: 0.929 0.055 0.727
Ba: 0.429 0.727 0.055
Ba: 0.571 0.273 0.945
Ba: 0.790 0.660 0.781
Ba: 0.210 0.340 0.219
Tl: 0.250 0.364 0.636
Tl: 0.750 0.636 0.364
P: 0.750 0.003 0.997
P: 0.250 0.997 0.003

Computed properties:
Formation energy = -3.16 eV per formula unit
E = -3.1038 eV/atom
Space-group type = C2/c, No. 15
Energy above the most stable polymorph in this dataset = 0.00 eV/f.u.
D(E_F) = 11.27 states/eV per cell
Magnetic moment = 0.00 μB per cell

Record 4
The following is a PBE calculation of an optimized crystal structure of BaTl2P, from Alexandria.

a b c (Å): 4.708 4.711 5.511
angles (deg): 90.00 90.00 90.00
Fractional positions:
P: 0.000 0.500 0.500
Tl: 0.000 0.000 0.000
Tl: 0.500 0.500 0.000
Ba: 0.500 0.000 0.500

Computed properties:
Formation energy = -1.10 eV per formula unit
E = -3.2905 eV/atom
Space-group type = P4/mmm, No. 123
Energy above the most stable polymorph in this dataset = 0.48 eV/f.u.
D(E_F) = 2.51 states/eV per cell
Magnetic moment = 0.00 μB per cell

Record 5
The following is a PBE calculation of an optimized crystal structure of BaTlP2, from Alexandria.

a b c (Å): 5.442 5.442 3.663
angles (deg): 90.00 90.00 100.20
Fractional positions:
P: 0.000 0.000 0.000
P: 0.500 0.500 0.000
Ba: 0.000 0.500 0.500
Tl: 0.500 0.000 0.500

Computed properties:
Formation energy = -0.06 eV per formula unit
E = -3.7927 eV/atom
Space-group type = Cmmm, No. 65
Energy above the most stable polymorph in this dataset = 1.61 eV/f.u.
D(E_F) = 3.05 states/eV per cell
Magnetic moment = 0.00 μB per cell

Record 6
The following is a PBE calculation of an optimized crystal structure of BaTl2P, from Alexandria.

a b c (Å): 4.145 4.145 7.160
angles (deg): 90.00 90.00 90.00
Fractional positions:
P: 0.500 0.500 0.783
Tl: 0.000 0.000 0.994
Tl: 0.500 0.500 0.184
Ba: 0.000 0.000 0.538

Computed properties:
Formation energy = -0.93 eV per formula unit
E = -3.2484 eV/atom
Space-group type = P4mm, No. 99
Energy above the most stable polymorph in this dataset = 0.65 eV/f.u.
D(E_F) = 1.02 states/eV per cell
Magnetic moment = 0.00 μB per cell

formation energy of number 6 (BaTl2P)? -0.93 eV per formula unit